Record 1
DFT (PBEsol) results for a geometry-optimized Li4Cr3GaO8 structure.

Results
**Magnetization**: 9.000 μB per formula unit
**Energy relative to the elements, uncorrected**: -2.03 eV/atom
**Uncorrected energy**: -116.48 eV for the cell shown

The structure in extended XYZ format:
```
16
Lattice="-3.1369 0.2450 3.9403 -4.5590 -0.2320 -3.6150 3.3306 -4.6987 0.7909" Properties=species:S:1:pos:R:3 pbc="T T T"
Li -3.3334 -2.4096 -0.3312
Li -1.0319 -2.2761 1.4474
Li 1.6653 -2.3493 0.3955
Li -0.6142 -2.4653 -1.4120
Cr 0.0000 0.0000 0.0000
Cr -4.9863 -0.0515 -0.7401
Cr -2.7095 0.0644 1.0653
Ga -2.2795 -0.1160 -1.8075
O -0.0006 -3.6600 0.2357
O -4.3647 -1.0257 0.8805
O -2.2745 -3.7974 -1.5776
O -2.0908 -0.8883 2.6938
O -0.4176 -3.4823 3.1053
O -3.9477 -1.2034 -1.9891
O -1.6581 -1.0869 -0.1736
O -2.7072 -3.5988 1.2898
```

Record 2
DFT (PBEsol) results for a geometry-optimized Ge2RhPbI structure.

Results
**Magnetization**: 0.000 μB per formula unit
**Energy relative to the elements, uncorrected**: 1.03 eV/atom
**Uncorrected energy**: -18.62 eV for the cell shown

The structure in extended XYZ format:
```
5
Lattice="4.7712 0.0000 0.0000 0.0000 5.4267 0.0000 0.0000 0.0000 5.4267" Properties=species:S:1:pos:R:3 pbc="T T T"
Pb 2.3856 2.7134 2.7134
I 0.0000 0.0000 0.0000
Ge 0.0000 0.0000 2.7134
Ge 0.0000 2.7134 0.0000
Rh 2.3856 0.0000 0.0000
```

Record 3
DFT (PBEsol) results for a geometry-optimized YMgZr2 structure.

Results
**Magnetization**: 0.000 μB per formula unit
**Uncorrected energy**: -26.34 eV for the cell shown
**Formation energy**: 0.10 eV per atom

The structure in extended XYZ format:
```
4
Lattice="-0.7030 -0.5030 4.4810 3.4263 -3.0079 0.1999 1.5343 5.1094 -1.5097" Properties=species:S:1:pos:R:3 pbc="T T T"
Mg 1.3616 -1.7554 2.3405
Y 3.1611 0.1730 0.5154
Zr 0.0000 0.0000 0.0000
Zr 1.0964 1.4255 2.6559
```

Record 4
DFT (PBEsol) results for a geometry-optimized TiP2H2O8 structure.

Results
**Magnetization**: 0.000 μB per formula unit
**Uncorrected energy**: -386.76 eV for the cell shown

The structure in extended XYZ format:
```
52
Lattice="5.1863 0.0000 0.0018 0.0000 6.3494 0.0000 -0.0465 0.0000 18.6088" Properties=species:S:1:pos:R:3 pbc="T T T"
Ti 1.2085 4.7332 12.4437
Ti 1.2317 4.7908 3.1394
Ti 3.9314 1.6161 6.1668
Ti 3.9081 1.5586 15.4711
P 3.8990 5.3157 10.4400
P 3.9223 4.2083 1.1357
P 1.2408 1.0337 8.1705
P 1.2176 2.1410 17.4748
P 1.3549 1.5785 13.2984
P 1.3781 1.5962 3.9940
P 3.7850 4.7709 5.3121
P 3.7617 4.7531 14.6165
H 2.0005 5.3441 8.3296
H 1.9772 4.1799 17.6339
H 3.1394 1.0052 10.2810
H 3.1626 2.1695 0.9766
H 4.2787 5.1477 8.2584
H 4.2555 4.3763 17.5628
H 0.8611 1.2016 10.3521
H 0.8844 1.9730 1.0478
O 1.2142 2.8205 12.4025
O 1.2374 0.3542 3.0981
O 3.9257 3.5288 6.2081
O 3.9024 5.9952 15.5124
O 2.7585 1.5904 4.6745
O 2.7352 1.5843 13.9789
O 2.3814 4.7590 13.9360
O 2.4046 4.7651 4.6316
O 1.2404 2.8210 3.0800
O 1.2172 0.3536 12.3844
O 3.8994 3.5283 15.5305
O 3.9227 5.9957 6.2261
O 0.2632 1.5851 14.3817
O 0.2864 1.5896 5.0773
O 4.8767 4.7643 4.2288
O 4.8534 4.7597 13.5332
O 5.0642 1.5679 7.8032
O 5.0410 1.6067 17.1076
O 0.0756 4.7814 10.8073
O 0.0989 4.7426 1.5029
O 2.3894 1.5837 16.7096
O 2.4127 1.5910 7.4052
O 2.7504 4.7657 1.9009
O 2.7272 4.7583 11.2053
O 4.0152 2.6360 1.2380
O 3.9920 0.5387 10.5424
O 1.1246 3.7133 17.3725
O 1.1479 5.8107 8.0681
O 1.5957 1.7731 0.3841
O 1.5725 1.4016 9.6885
O 3.5441 4.5762 18.2264
O 3.5674 4.9478 8.9220
```

Record 5
DFT (PBEsol) results for a geometry-optimized ZrSI2O structure.

Results
**Magnetization**: 2.000 μB per formula unit
**Energy relative to the elements, uncorrected**: -0.74 eV/atom
**Uncorrected energy**: -25.98 eV for the cell shown

The structure in extended XYZ format:
```
5
Lattice="3.9500 0.0000 0.0000 0.0000 5.7544 0.0000 0.0000 0.0000 5.7544" Properties=species:S:1:pos:R:3 pbc="T T T"
I 0.0000 0.0000 2.8772
I 0.0000 2.8772 0.0000
S 1.9750 2.8772 2.8772
O 1.9750 0.0000 0.0000
Zr 0.0000 0.0000 0.0000
```

Record 6
DFT (PBEsol) results for a geometry-optimized YMnCl2 structure.

Results
**Magnetization**: 2.259 μB per formula unit
**Energy relative to the elements, uncorrected**: -0.78 eV/atom
**Uncorrected energy**: -23.71 eV for the cell shown

The structure in extended XYZ format:
```
4
Lattice="-2.9430 -1.0656 -1.5894 1.1480 -4.2588 0.7296 -1.4360 0.7503 6.0325" Properties=species:S:1:pos:R:3 pbc="T T T"
Y 0.5740 -2.1294 0.3648
Mn -1.4715 -0.5328 -0.7947
Cl -1.5292 -3.5974 1.3666
Cl -1.7019 -0.9767 3.8061
```

Record 7
DFT (PBEsol) results for a geometry-optimized Li2CaCd structure.

Results
**Magnetization**: 0.001 μB per formula unit
**Uncorrected energy**: -7.66 eV for the cell shown
**Formation energy**: -0.10 eV per atom

The structure in extended XYZ format:
```
4
Lattice="4.5430 0.0000 0.0000 0.0000 4.5451 0.0000 0.0000 0.0000 4.7069" Properties=species:S:1:pos:R:3 pbc="T T T"
Ca 2.2715 0.0000 2.3534
Cd 0.0000 2.2726 2.3534
Li 0.0000 0.0000 0.0000
Li 2.2715 2.2726 0.0000
```

Record 8
DFT (PBEsol) results for a geometry-optimized GdBiPd structure.

Results
**Magnetization**: 7.010 μB per formula unit
**Uncorrected energy**: -27.58 eV for the cell shown
**Formation energy**: -0.96 eV per atom

The structure in extended XYZ format:
```
3
Lattice="-2.1961 3.9325 1.3617 -0.1638 1.1443 4.5613 2.4951 3.6547 1.5999" Properties=species:S:1:pos:R:3 pbc="T T T"
Gd 0.0676 4.3657 3.7614
Bi 0.0000 0.0000 0.0000
Pd 0.0338 2.1829 1.8807
```

Record 9
DFT (PBEsol) results for a geometry-optimized Zn2FeSb structure.

Results
**Magnetization**: 1.382 μB per formula unit
**Energy relative to the elements, uncorrected**: 0.18 eV/atom
**Uncorrected energy**: -15.97 eV for the cell shown

The structure in extended XYZ format:
```
4
Lattice="-0.5841 1.8926 2.5541 1.6008 -2.5818 2.2793 4.8139 1.3005 -1.9078" Properties=species:S:1:pos:R:3 pbc="T T T"
Fe 1.6319 0.8109 -0.2277
Sb 1.3793 0.0882 2.2952
Zn 3.2987 2.7304 0.7762
Zn 3.8310 0.2149 0.7169
```

Record 10
DFT (PBEsol) results for a geometry-optimized SrPb3 structure.

Results
**Magnetization**: 0.000 μB per formula unit
**Uncorrected energy**: -14.91 eV for the cell shown
**Formation energy**: -0.27 eV per atom

The structure in extended XYZ format:
```
4
Lattice="4.2101 0.0000 0.0000 0.0000 4.2101 0.0000 0.0000 0.0000 7.0532" Properties=species:S:1:pos:R:3 pbc="T T T"
Pb 0.0000 0.0000 5.4767
Pb 2.1050 2.1050 0.0000
Pb 0.0000 0.0000 1.5765
Sr 2.1050 2.1050 3.5266
```

Record 11
DFT (PBEsol) results for a geometry-optimized SiHgH2 structure.

Results
**Magnetization**: 0.000 μB per formula unit
**Uncorrected energy**: -9.52 eV for the cell shown

The structure in extended XYZ format:
```
4
Lattice="-1.0061 2.2891 3.1279 -2.2454 -1.5146 2.9496 1.6213 -0.6967 3.5948" Properties=species:S:1:pos:R:3 pbc="T T T"
H -0.4075 0.0194 2.4181
H -1.2226 0.0583 7.2543
Si 0.0000 0.0000 0.0000
Hg -0.8151 0.0389 4.8362
```

Record 12
DFT (PBEsol) results for a geometry-optimized CaTl2In structure.

Results
**Magnetization**: 0.000 μB per formula unit
**Uncorrected energy**: -11.50 eV for the cell shown
**Formation energy**: -0.28 eV per atom

The structure in extended XYZ format:
```
4
Lattice="-2.7807 -2.1562 -3.2210 -2.7325 -1.7209 3.5111 0.0845 5.7215 -0.3706" Properties=species:S:1:pos:R:3 pbc="T T T"
Tl -2.7264 0.8133 -1.7232
Tl -2.7023 1.0310 1.6428
Ca -2.7566 -1.9386 0.1451
In 0.0000 0.0000 0.0000
```

Record 13
DFT (PBEsol) results for a geometry-optimized BaPPb2 structure.

Results
**Magnetization**: 0.000 μB per formula unit
**Uncorrected energy**: -17.31 eV for the cell shown
**Formation energy**: -0.34 eV per atom

The structure in extended XYZ format:
```
4
Lattice="4.0553 0.0000 0.0000 -2.0277 5.4235 -0.0279 0.0000 -2.4656 5.6086" Properties=species:S:1:pos:R:3 pbc="T T T"
Ba 2.0277 -0.8684 2.8430
P 0.0000 0.5917 4.8576
Pb 2.0277 2.7653 5.2994
Pb 2.0277 2.1945 0.9656
```

Record 14
DFT (PBEsol) results for a geometry-optimized RbCd3Pt structure.

Results
**Magnetization**: 0.000 μB per formula unit
**Uncorrected energy**: -12.42 eV for the cell shown
**Formation energy**: -0.17 eV per atom

The structure in extended XYZ format:
```
5
Lattice="-1.5955 4.1500 2.7738 2.4707 -1.8737 4.2245 4.3373 2.5940 -1.3862" Properties=species:S:1:pos:R:3 pbc="T T T"
Rb 2.6063 2.4352 2.8061
Pt 0.0000 0.0000 0.0000
Cd 1.2354 -0.9368 2.1123
Cd -0.7978 2.0750 1.3869
Cd 2.1686 1.2970 -0.6931
```

Record 15
DFT (PBEsol) results for a geometry-optimized Cr2FeAg structure.

Results
**Magnetization**: 2.692 μB per formula unit
**Uncorrected energy**: -31.22 eV for the cell shown
**Formation energy**: 0.39 eV per atom

The structure in extended XYZ format:
```
4
Lattice="-1.6184 0.7933 -2.1722 -1.2757 -2.5176 0.0310 -4.3771 2.2682 4.0896" Properties=species:S:1:pos:R:3 pbc="T T T"
Ag -4.7019 0.8245 1.9704
Cr -0.1925 0.0998 0.1799
Cr -2.5568 -0.2871 -0.0337
Fe -2.0085 1.0408 1.8765
```

Record 16
DFT (PBEsol) results for a geometry-optimized Re2PSe structure.

Results
**Magnetization**: 0.001 μB per formula unit
**Energy relative to the elements, uncorrected**: 0.04 eV/atom
**Uncorrected energy**: -36.14 eV for the cell shown

The structure in extended XYZ format:
```
4
Lattice="2.9190 0.0000 0.0000 1.4595 2.5279 0.0000 1.4595 0.8426 9.2954" Properties=species:S:1:pos:R:3 pbc="T T T"
P 1.4595 0.8426 1.7032
Re 1.4595 0.8426 9.2801
Re 4.3784 2.5279 7.0433
Se 2.9189 1.6853 5.2119
```

Record 17
DFT (PBEsol) results for a geometry-optimized LaBSb2Te structure.

Results
**Magnetization**: 0.001 μB per formula unit
**Energy relative to the elements, uncorrected**: -0.01 eV/atom
**Uncorrected energy**: -25.04 eV for the cell shown

The structure in extended XYZ format:
```
5
Lattice="4.8627 0.0000 0.0000 0.0000 4.8627 0.0000 0.0000 0.0000 5.0663" Properties=species:S:1:pos:R:3 pbc="T T T"
Sb 0.0000 2.4314 0.0000
Sb 2.4314 0.0000 0.0000
B 0.0000 0.0000 0.0000
Te 0.0000 0.0000 2.5332
La 2.4314 2.4314 2.5332
```

Record 18
DFT (PBEsol) results for a geometry-optimized ScReOsSe2 structure.

Results
**Magnetization**: 2.157 μB per formula unit
**Energy relative to the elements, uncorrected**: 1.74 eV/atom
**Uncorrected energy**: -31.14 eV for the cell shown

The structure in extended XYZ format:
```
5
Lattice="4.8071 0.0000 0.0000 0.0000 4.8071 0.0000 0.0000 0.0000 4.7807" Properties=species:S:1:pos:R:3 pbc="T T T"
Sc 0.0000 0.0000 0.0000
Re 2.4035 2.4035 2.3903
Os 0.0000 0.0000 2.3903
Se 0.0000 2.4035 0.0000
Se 2.4035 0.0000 0.0000
```

Record 19
DFT (PBEsol) results for a geometry-optimized BeCuPb structure.

Results
**Magnetization**: 0.000 μB per formula unit
**Uncorrected energy**: -11.03 eV for the cell shown
**Formation energy**: 0.43 eV per atom

The structure in extended XYZ format:
```
3
Lattice="-0.7053 2.4653 -3.2976 -3.9118 0.6920 -1.2917 -1.7428 3.7582 0.5366" Properties=species:S:1:pos:R:3 pbc="T T T"
Pb 0.0000 0.0000 0.0000
Be -3.1799 3.4578 -2.0264
Cu -1.5900 1.7289 -1.0132
```

Record 20
DFT (PBEsol) results for a geometry-optimized Y2InPb structure.

Results
**Magnetization**: 0.000 μB per formula unit
**Uncorrected energy**: -22.75 eV for the cell shown
**Formation energy**: -0.53 eV per atom

The structure in extended XYZ format:
```
4
Lattice="3.4660 0.0000 0.0000 0.0000 5.5484 0.0053 0.0000 -1.2364 5.4089" Properties=species:S:1:pos:R:3 pbc="T T T"
Pb 1.7330 0.0000 0.0000
Y 0.0000 -0.6182 2.7045
Y 0.0000 2.7742 0.0027
In 1.7330 2.1560 2.7071
```